{
  "formula": "VCo3Ir",
  "functional": "PBE",
  "state": "optimized geometry",
  "cell": [[4.372, 0.000, 0.000], [0.000, 6.170, -1.772], [0.000, 0.133, 8.897]],
  "species": ["Co", "V", "Co", "V", "Co", "V", "Ir", "V", "Co", "Co", "Co", "Ir", "Ir", "Co", "Co", "Co", "Co", "Co", "Co", "Ir"],
  "fractional_positions": [[0.334, 0.054, 0.824], [0.188, 0.665, 0.718], [0.343, 0.859, 0.534], [0.812, 0.335, 0.282], [0.843, 0.141, 0.966], [0.312, 0.665, 0.218], [0.835, 0.745, 0.381], [0.688, 0.335, 0.782], [0.657, 0.141, 0.466], [0.834, 0.946, 0.676], [0.720, 0.539, 0.582], [0.165, 0.255, 0.619], [0.335, 0.255, 0.119], [0.780, 0.539, 0.082], [0.220, 0.461, 0.918], [0.666, 0.946, 0.176], [0.280, 0.461, 0.418], [0.166, 0.054, 0.324], [0.157, 0.859, 0.034], [0.665, 0.745, 0.881]],
  "delta_e_f_ev_per_fu": -0.55,
  "sg": "P2_1/c",
  "crystal_system": "monoclinic",
  "dft_energy_ev_per_atom": -7.9701,
  "de_polymorph_kj_per_mol_atoms": 0.0
}